1.
The following is a DFT calculation (PBE) of an optimized crystal structure of Zr2MnTe.

## Properties
- density (g cm⁻³) = 7.0
- formation energy without anion corrections (eV/atom) = -0.128
- total energy (eV per cell) = -29.92

a = 7.8961 Å, b = 7.8961 Å, c = 7.8961 Å
α = 26.47°, β = 26.47°, γ = 26.47°
Fractional coordinates of all 4 atoms:
Zr 0.2385 0.2385 0.2385
Zr 0.7615 0.7615 0.7615
Mn 0.5000 0.5000 0.5000
Te 0.0000 0.0000 0.0000

2.
The following is a DFT calculation (PBE) of an optimized crystal structure of TlCrIn2Cl8.

## Properties
- density (g cm⁻³) = 3.8
- formation energy without anion corrections (eV/atom) = -0.907
- total energy (eV per cell) = -43.13

a = 9.5336 Å, b = 9.5336 Å, c = 9.5336 Å
α = 41.23°, β = 41.23°, γ = 41.23°
Fractional coordinates of all 12 atoms:
Tl 0.0000 0.0000 0.0000
Cr 0.5000 0.5000 0.5000
In 0.2177 0.2177 0.2177
In 0.7823 0.7823 0.7823
Cl 0.2033 0.3792 0.7659
Cl 0.2341 0.7967 0.6208
Cl 0.3127 0.3127 0.3127
Cl 0.3792 0.7659 0.2033
Cl 0.6208 0.2341 0.7967
Cl 0.6873 0.6873 0.6873
Cl 0.7659 0.2033 0.3792
Cl 0.7967 0.6208 0.2341

3.
The following is a DFT calculation (PBE) of an optimized crystal structure of LiSmHgBi.

## Properties
- energy relative to the elements (kJ per mole of atoms) = -46.7
- density (g cm⁻³) = 9.0
- total energy (eV per cell) = -12.75

a = 5.2843 Å, b = 5.2843 Å, c = 5.2843 Å
α = 60.00°, β = 60.00°, γ = 60.00°
Fractional coordinates of all 4 atoms:
Li 0.0000 0.0000 0.0000
Sm 0.5000 0.5000 0.5000
Hg 0.2500 0.2500 0.2500
Bi 0.7500 0.7500 0.7500